Version one
Entry from Alexandria via LeMat-Bulk: a relaxed GaNi3Pt crystal (PBE).

space-group type = Pm-3m (221)
Fermi-level density of states = 8.0 states/eV/f.u.

abc: 4.619 4.619 4.619
angles: 90.00 90.00 90.00
Fractional positions:
Ni (0.000, 0.500, 0.000)
Ni (0.000, 0.000, 0.500)
Ni (0.500, 0.000, 0.000)
Ga (0.500, 0.500, 0.500)
Pt (0.000, 0.000, 0.000)

=====

Version two
Entry from Alexandria via LeMat-Bulk: a relaxed GaNi3Pt crystal (PBE).

space-group type = I-4m2 (119)
Fermi-level density of states = 6.9 states/eV/f.u.

abc: 4.456 4.456 8.977
angles: 104.37 104.37 90.00
Fractional positions:
Ga (0.000, 0.000, 0.000)
Ga (0.250, 0.750, 0.500)
Ni (0.621, 0.874, 0.748)
Ni (0.126, 0.873, 0.252)
Ni (0.126, 0.379, 0.252)
Ni (0.127, 0.874, 0.748)
Ni (0.344, 0.344, 0.688)
Ni (0.656, 0.656, 0.312)
Pt (0.596, 0.096, 0.192)
Pt (0.904, 0.404, 0.808)

=====

Of all the structures shown, which is most stable? version two, and version one is the least stable.